5
Lattice="4.022 0.000 0.000 0.000 6.096 0.000 0.000 0.000 4.022" Properties=species:S:1:pos:R:3 comment="SrSi2CCl PBE optimized geometry" vol_a3_per_cell=99 spacegroup=P4/mmm crystal_system=tetragonal density_g_cm3=3.22 pbc="T T T"
Sr 0.000 3.048 0.000
Si 0.000 0.000 2.011
Si 2.011 0.000 0.000
C 0.000 0.000 0.000
Cl 2.011 3.048 2.011



5
Lattice="4.502 0.000 0.000 0.000 4.502 0.000 0.000 0.000 5.985" Properties=species:S:1:pos:R:3 comment="YSiCCl2 PBE optimized geometry" vol_a3_per_cell=121 spacegroup=P4/mmm crystal_system=tetragonal density_g_cm3=2.74 pbc="T T T"
Y 0.000 0.000 2.992
Si 0.000 0.000 0.000
C 2.251 2.251 2.992
Cl 0.000 2.251 0.000
Cl 2.251 0.000 0.000



5
Lattice="-5.211 -1.676 -1.768 -0.873 -0.614 3.154 -1.913 5.399 0.522" Properties=species:S:1:pos:R:3 comment="ZnSiCCl2 PBE optimized geometry" vol_a3_per_cell=110 spacegroup=P4/mmm crystal_system=tetragonal density_g_cm3=2.66 pbc="T T T"
C 0.000 0.000 0.000
Zn -3.998 1.555 0.954
Si -0.436 -0.307 1.577
Cl -0.957 2.699 0.261
Cl -2.605 -0.838 -0.884



20
Lattice="-7.310 2.858 -3.938 1.604 -8.103 -2.982 -1.713 -0.644 8.589" Properties=species:S:1:pos:R:3 comment="Sm7CCl12 PBE optimized geometry" vol_a3_per_cell=557 spacegroup=R-3 crystal_system=trigonal density_g_cm3=4.44 pbc="T T T"
Sm -7.516 -3.366 1.799
Sm -2.171 0.004 -1.294
Sm -1.275 -0.141 2.178
Sm -3.710 -2.944 0.835
Sm -6.144 -5.748 -0.509
Sm -5.248 -5.893 2.963
Sm 0.096 -2.523 -0.130
C 0.000 0.000 0.000
Cl -7.569 -0.394 2.106
Cl -4.803 0.103 -2.705
Cl -3.832 -0.182 0.987
Cl -6.084 -2.922 -0.591
Cl -2.689 -0.436 4.794
Cl -5.092 -3.088 3.230
Cl -2.327 -2.800 -1.561
Cl -4.731 -5.453 -3.125
Cl -1.336 -2.967 2.260
Cl -3.587 -5.707 0.682
Cl -2.616 -5.991 4.375
Cl 0.149 -5.494 -0.436



Sequential VASP energy output: -4.658, -4.118, -3.030, -5.135 eV/atom